VASP calculation (PBE) on crystalline V2CoSe5 at its relaxed geometry.

```
V2CoSe5
1.0
0.0000 6.3345 6.3911
2.1986 0.0000 6.3911
2.1986 6.3345 0.0000
V Co Se
2 1 5
Direct
0.1921 0.1921 0.8079 V
0.8079 0.8079 0.1921 V
0.5000 0.5000 0.5000 Co
0.0000 0.0000 0.0000 Se
0.2250 0.4686 0.5314 Se
0.4686 0.2250 0.7750 Se
0.5314 0.7750 0.2250 Se
0.7750 0.5314 0.4686 Se
```

Output
The calculation puts the density of states at the Fermi level at 5.10 states/eV/f.u. Its uncorrected formation energy is -2.8 eV per formula unit. The energy relative to the lowest polymorph listed for this composition is 0.052 eV/atom. The total moment comes out at 0.0 μB per formula unit.

VASP calculation (PBE) on crystalline PrSm3Th4Se8 at its relaxed geometry.

```
PrSm3Th4Se8
1.0
4.1460 2.3937 7.0235
-4.1460 2.3937 7.0235
0.0000 -4.7874 7.0235
Pr Sm Th Se
1 3 4 8
Direct
0.0000 0.0000 0.0000 Pr
0.0000 0.5000 0.5000 Sm
0.5000 0.0000 0.5000 Sm
0.5000 0.5000 0.0000 Sm
0.0000 0.0000 0.5000 Th
0.0000 0.5000 0.0000 Th
0.5000 0.0000 0.0000 Th
0.5000 0.5000 0.5000 Th
0.2503 0.2503 0.7453 Se
0.2503 0.7453 0.2503 Se
0.2522 0.2522 0.2522 Se
0.2547 0.7497 0.7497 Se
0.7453 0.2503 0.2503 Se
0.7478 0.7478 0.7478 Se
0.7497 0.2547 0.7497 Se
0.7497 0.7497 0.2547 Se
```

Output
The calculation puts the density of states at the Fermi level at 5.38 states/eV/f.u. Its uncorrected formation energy is -26.8 eV per formula unit. The total moment comes out at 0.0 μB per formula unit.

VASP calculation (PBE) on crystalline CuTeAsSe2 at its relaxed geometry.

```
CuTeAsSe2
1.0
4.8003 0.0000 0.0000
0.0000 4.8003 0.0000
0.0000 0.0000 4.7880
Cu Te As Se
1 1 1 2
Direct
0.0000 0.0000 0.0000 Cu
0.5000 0.5000 0.5000 Te
0.0000 0.0000 0.5000 As
0.0000 0.5000 0.0000 Se
0.5000 0.0000 0.0000 Se
```

Output
The calculation puts the density of states at the Fermi level at 3.96 states/eV/f.u. Its uncorrected formation energy is 2.2 eV per formula unit. The energy relative to the lowest polymorph listed for this composition is 0.000 eV/atom. The total moment comes out at 0.0 μB per formula unit.

VASP calculation (PBE) on crystalline SmGdGa at its relaxed geometry.

```
SmGdGa
1.0
5.0026 0.0000 0.0000
-2.5013 4.3324 0.0000
0.0000 0.0000 3.7328
Sm Gd Ga
1 1 1
Direct
0.0000 0.0000 0.0000 Sm
0.3333 0.6667 0.5537 Gd
0.6667 0.3333 0.2963 Ga
```

Output
The calculation puts the density of states at the Fermi level at 2.08 states/eV/f.u. The energy relative to the lowest polymorph listed for this composition is 0.085 eV/atom. The total moment comes out at 7.2 μB per formula unit. The formation energy is -275.0 meV/atom.

VASP calculation (PBE) on crystalline Cs3BRh at its relaxed geometry.

```
Cs3BRh
1.0
6.0219 0.0000 0.0000
0.0000 6.0219 0.0000
0.0000 0.0000 6.0219
Cs B Rh
3 1 1
Direct
0.0000 0.0000 0.5000 Cs
0.0000 0.5000 0.0000 Cs
0.5000 0.0000 0.0000 Cs
0.5000 0.5000 0.5000 B
0.0000 0.0000 0.0000 Rh
```

Output
The calculation puts the density of states at the Fermi level at 9.96 states/eV/f.u. The total moment comes out at 2.3 μB per formula unit. The formation energy is 1241.7 meV/atom.

VASP calculation (PBE) on crystalline HfTi6Tl2 at its relaxed geometry.

```
HfTi6Tl2
1.0
-1.4728 4.0809 7.3031
1.4728 -4.0809 7.3031
1.4728 4.0809 -7.3031
Hf Ti Tl
1 6 2
Direct
0.0000 0.0000 0.0000 Hf
0.0081 0.3381 0.6700 Ti
0.3255 0.5000 0.8255 Ti
0.3319 0.6619 0.6700 Ti
0.6681 0.3381 0.3300 Ti
0.6745 0.5000 0.1745 Ti
0.9919 0.6619 0.3300 Ti
0.3408 0.8408 0.5000 Tl
0.6592 0.1592 0.5000 Tl
```

Output
The calculation puts the density of states at the Fermi level at 12.14 states/eV/f.u. The total moment comes out at 3.9 μB per formula unit. The formation energy is 186.5 meV/atom.

VASP calculation (PBE) on crystalline CsKTlCd at its relaxed geometry.

```
CsKTlCd
1.0
4.6486 -2.6953 0.0000
4.6486 2.6953 0.0000
-3.1190 0.0000 8.0982
Cs K Tl Cd
1 1 1 1
Direct
0.0000 0.0000 0.0000 Cs
0.8121 0.8121 0.4395 K
0.5603 0.5603 0.6825 Tl
0.2259 0.2259 0.6804 Cd
```

Output
The calculation puts the density of states at the Fermi level at 3.49 states/eV/f.u. The energy relative to the lowest polymorph listed for this composition is 0.000 eV/atom. The total moment comes out at 0.0 μB per formula unit. The formation energy is -71.2 meV/atom.

VASP calculation (PBE) on crystalline CeDy8Ir6 at its relaxed geometry.

```
CeDy8Ir6
1.0
4.1275 2.3830 6.0544
-4.1275 2.3830 6.0544
0.0000 -4.7661 6.0544
Ce Dy Ir
1 8 6
Direct
0.0000 0.0000 0.0000 Ce
0.1035 0.4631 0.7719 Dy
0.2281 0.8965 0.5369 Dy
0.3381 0.3381 0.3381 Dy
0.4631 0.7719 0.1035 Dy
0.5369 0.2281 0.8965 Dy
0.6619 0.6619 0.6619 Dy
0.7719 0.1035 0.4631 Dy
0.8965 0.5369 0.2281 Dy
0.0575 0.7302 0.3794 Ir
0.2698 0.6206 0.9425 Ir
0.3794 0.0575 0.7302 Ir
0.6206 0.9425 0.2698 Ir
0.7302 0.3794 0.0575 Ir
0.9425 0.2698 0.6206 Ir
```

Output
The calculation puts the density of states at the Fermi level at 9.36 states/eV/f.u. The total moment comes out at 0.0 μB per formula unit. The formation energy is -783.3 meV/atom.